(1)
{"formula": "Cd3MoIr", "functional": "PBE-GGA", "state": "relaxed", "ef_ev_per_fu": 5.6, "lattice": [[5.1329, 0.0000, 0.0000], [0.0000, 5.1329, 0.0000], [0.0000, 0.0000, 5.1329]], "species": ["Mo", "Cd", "Cd", "Cd", "Ir"], "fractional_positions": [[0.5000, 0.5000, 0.5000], [0.0000, 0.5000, 0.0000], [0.5000, 0.0000, 0.0000], [0.0000, 0.0000, 0.5000], [0.0000, 0.0000, 0.0000]]}



(2)
{"formula": "NbSb2TeIr", "functional": "PBE-GGA", "state": "relaxed", "final_energy_ev_per_atom": -4.90, "lattice": [[-0.8438, -4.9108, 1.7373], [5.0091, -0.2821, 1.6355], [-1.4113, 1.8868, 4.6479]], "species": ["Sb", "Sb", "Ir", "Te", "Nb"], "fractional_positions": [[0.5000, 0.0000, 0.0000], [0.0000, 0.5000, 0.0000], [0.5000, 0.5000, 0.5000], [0.0000, 0.0000, 0.5000], [0.0000, 0.0000, 0.0000]]}



(3)
{"formula": "LiZrPd", "functional": "PBE-GGA", "state": "relaxed", "ef_ev_per_fu": -0.9, "lattice": [[2.9237, 0.0000, 0.0000], [0.0000, 4.4945, 0.0000], [0.0000, -2.2473, 3.8924]], "species": ["Li", "Pd", "Zr"], "fractional_positions": [[0.4533, 0.3333, 0.6667], [0.5525, 0.6667, 0.3333], [0.9942, 0.0000, 0.0000]]}



(4)
{"formula": "CoHgCl14", "functional": "PBE-GGA", "state": "relaxed", "final_energy_ev_per_atom": -2.24, "lattice": [[-4.6709, 5.3421, 6.4774], [-5.5022, -6.1005, 4.9823], [-4.4476, -1.8579, 16.6910]], "species": ["Cl", "Cl", "Cl", "Cl", "Cl", "Cl", "Cl", "Cl", "Cl", "Cl", "Cl", "Cl", "Cl", "Cl", "Hg", "Co"], "fractional_positions": [[0.0987, 0.3128, 0.2383], [0.5459, 0.2412, 0.9881], [0.0923, 0.3313, 0.7949], [0.2531, 0.8937, 0.0727], [0.6463, 0.3569, 0.3190], [0.3553, 0.6447, 0.5000], [0.8937, 0.5837, 0.4257], [0.6872, 0.9013, 0.7617], [0.6687, 0.9077, 0.2051], [0.1063, 0.7468, 0.9273], [0.8890, 0.1110, 0.5000], [0.7588, 0.4541, 0.0119], [0.4163, 0.1063, 0.5743], [0.6431, 0.3537, 0.6810], [0.2023, 0.7977, 0.0000], [0.7429, 0.2571, 0.0000]]}



(5)
{"formula": "NaGaPC", "functional": "PBE-GGA", "state": "relaxed", "ef_ev_per_fu": 0.8, "lattice": [[-1.1254, 0.7813, -2.6433], [-1.7821, -1.1252, 2.1028], [-1.3462, 7.1563, 2.6884]], "species": ["C", "Na", "P", "Ga"], "fractional_positions": [[0.3333, 0.6667, 0.1101], [0.0000, 0.0000, 0.3693], [0.6667, 0.3333, 0.0170], [0.6667, 0.3333, 0.6942]]}



(6)
{"formula": "RbTa", "functional": "PBE-GGA", "state": "relaxed", "ef_ev_per_fu": 3.0, "lattice": [[10.8303, 0.0000, 0.0000], [0.0000, 10.8303, 0.0000], [0.0000, 0.0000, 10.8303]], "species": ["Rb", "Rb", "Rb", "Rb", "Rb", "Rb", "Rb", "Rb", "Ta", "Ta", "Ta", "Ta", "Ta", "Ta", "Ta", "Ta"], "fractional_positions": [[0.2139, 0.7861, 0.7861], [0.7861, 0.7861, 0.2139], [0.2861, 0.7139, 0.2861], [0.2139, 0.2139, 0.2139], [0.7861, 0.2139, 0.7861], [0.7139, 0.2861, 0.2861], [0.7139, 0.7139, 0.7139], [0.2861, 0.2861, 0.7139], [0.9167, 0.0833, 0.0833], [0.4167, 0.4167, 0.4167], [0.0833, 0.0833, 0.9167], [0.0833, 0.9167, 0.0833], [0.5833, 0.5833, 0.4167], [0.9167, 0.9167, 0.9167], [0.5833, 0.4167, 0.5833], [0.4167, 0.5833, 0.5833]]}



(7)
{"formula": "CsNp4Rh3S12", "functional": "PBE-GGA", "state": "relaxed", "final_energy_ev_per_atom": -7.01, "lattice": [[-6.0768, 3.7356, 4.4705], [-1.6683, -8.2233, -0.6804], [7.3930, 1.0512, 3.8868]], "species": ["Rh", "Rh", "Rh", "Cs", "Np", "Np", "Np", "Np", "S", "S", "S", "S", "S", "S", "S", "S", "S", "S", "S", "S"], "fractional_positions": [[0.5000, 0.5000, 0.0000], [0.5000, 0.0000, 0.5000], [0.0000, 0.5000, 0.5000], [0.0000, 0.0000, 0.0000], [0.0000, 0.5000, 0.0000], [0.5000, 0.5000, 0.5000], [0.0000, 0.0000, 0.5000], [0.5000, 0.0000, 0.0000], [0.3243, 0.8333, 0.1576], [0.1667, 0.4910, 0.3243], [0.1576, 0.3243, 0.8333], [0.1667, 0.8424, 0.6757], [0.8333, 0.1576, 0.3243], [0.3243, 0.1667, 0.4910], [0.8424, 0.6757, 0.1667], [0.6757, 0.8333, 0.5090], [0.4910, 0.3243, 0.1667], [0.8333, 0.5090, 0.6757], [0.6757, 0.1667, 0.8424], [0.5090, 0.6757, 0.8333]]}



(8)
{"formula": "NaBr2O6", "functional": "PBE-GGA", "state": "relaxed", "final_energy_ev_per_atom": -3.91, "lattice": [[-3.7839, 4.9971, 3.7217], [-1.6387, -3.1882, 6.0895], [5.8978, 0.9089, 4.1868]], "species": ["O", "O", "O", "O", "O", "O", "O", "O", "O", "O", "O", "O", "Na", "Na", "Br", "Br", "Br", "Br"], "fractional_positions": [[0.9514, 0.6244, 0.7956], [0.2044, 0.8756, 0.0486], [0.5591, 0.0485, 0.7039], [0.4160, 0.2441, 0.9644], [0.9644, 0.7441, 0.4160], [0.7039, 0.5485, 0.5591], [0.7956, 0.1244, 0.9514], [0.0486, 0.3756, 0.2044], [0.0356, 0.2559, 0.5840], [0.4409, 0.9515, 0.2961], [0.5840, 0.7559, 0.0356], [0.2961, 0.4515, 0.4409], [0.9204, 0.7500, 0.0796], [0.0796, 0.2500, 0.9204], [0.1849, 0.2774, 0.4145], [0.5855, 0.2226, 0.8151], [0.8151, 0.7226, 0.5855], [0.4145, 0.7774, 0.1849]]}



One value per record, in order, for density of states at the Fermi level: 0.493 1.343 0.964 0.589 0.302 1.736 1.739 0.075 states/eV/atom.